--- one ---
The following is a DFT calculation (PBEsol) of CoP3 after structural relaxation.

SG: Im-3

a b c (Å): 6.614 6.614 6.614
angles (deg): 109.47 109.47 109.47
Fractional positions:
1 Co 0.000 0.000 0.500
2 Co 0.000 0.500 0.000
3 Co 0.500 0.000 0.000
4 Co 0.500 0.500 0.500
5 P 0.147 0.494 0.347
6 P 0.147 0.800 0.653
7 P 0.200 0.347 0.853
8 P 0.347 0.147 0.494
9 P 0.347 0.853 0.200
10 P 0.494 0.347 0.147
11 P 0.506 0.653 0.853
12 P 0.653 0.147 0.800
13 P 0.653 0.853 0.506
14 P 0.800 0.653 0.147
15 P 0.853 0.200 0.347
16 P 0.853 0.506 0.653

=====

--- two ---
The following is a DFT calculation (PBEsol) of CoP3 after structural relaxation.

SG: Cmmm

a b c (Å): 4.304 4.304 3.495
angles (deg): 90.00 90.00 121.56
Fractional positions:
1 Co 0.000 0.000 0.000
2 P 0.187 0.813 0.500
3 P 0.500 0.500 0.000
4 P 0.813 0.187 0.500

=====

Of them, one has the highest stability.